A plane-wave DFT calculation with PBE-GGA was carried out for crystalline NdPa2Ni6 at its relaxed geometry. Values from VASP.

```
&SYSTEM
  ibrav = 0, nat = 9, ntyp = 3
/
ATOMIC_SPECIES
Nd 144.24 Nd.upf
Pa 231.04 Pa.upf
Ni 58.69 Ni.upf
CELL_PARAMETERS angstrom
7.1926 0.0000 0.0000
-3.5963 6.2290 0.0000
0.0000 0.0000 3.4386
ATOMIC_POSITIONS angstrom
Nd 0.0000 0.0000 0.0000
Pa 0.0000 4.1526 0.0000
Pa 3.5963 2.0763 0.0000
Ni -1.2206 2.1141 1.7193
Ni -2.3757 4.1149 1.7193
Ni 2.4412 0.0000 1.7193
Ni 1.2206 2.1141 1.7193
Ni 4.7514 0.0000 1.7193
Ni 2.3757 4.1149 1.7193
```

Computed properties:
Total DFT energy (no corrections) ... -6.789 eV/atom
Calculated formation energy ... -28 kJ/mol of atoms
Excess energy over the best structure of this formula in the dataset ... 0 meV per atom
Symmetry ... P6/mmm (191)